Record 1
{
  "formula": "SrZrSi",
  "functional": "PBE",
  "state": "relaxed",
  "space_group": "F-43m, No. 216",
  "lattice": [[-0.6474, -2.3704, -4.2051], [3.7920, -2.1005, -2.2202], [0.3571, -4.8553, -0.1385]],
  "species": ["Sr", "Zr", "Si"],
  "frac_coords": [[0.0000, 0.0000, 0.0000], [0.5000, 0.5000, 0.5000], [0.7500, 0.7500, 0.7500]]
}

Record 2
{
  "formula": "Sr2ZrSi",
  "functional": "PBE",
  "state": "relaxed",
  "space_group": "I4/mmm, No. 139",
  "lattice": [[-3.3901, -5.1721, -0.6537], [0.9845, -3.5342, -5.0210], [3.4207, 2.6971, 4.4379]],
  "species": ["Si", "Zr", "Sr", "Sr"],
  "frac_coords": [[0.7500, 0.2500, 0.5000], [0.2500, 0.7500, 0.5000], [0.5000, 0.5000, 0.0000], [0.0000, 0.0000, 0.0000]]
}

Record 3
{
  "formula": "SrZr2Si",
  "functional": "PBE",
  "state": "relaxed",
  "space_group": "I-42d, No. 122",
  "lattice": [[-0.3525, 5.0282, 0.6040], [-1.4352, 0.4814, -4.8456], [-10.3763, 1.7644, 0.5893]],
  "species": ["Sr", "Sr", "Zr", "Zr", "Zr", "Zr", "Si", "Si"],
  "frac_coords": [[0.0000, 0.0000, 0.0000], [0.7500, 0.2500, 0.5000], [0.3608, 0.6250, 0.2500], [0.8750, 0.6392, 0.7500], [0.3892, 0.1250, 0.2500], [0.3750, 0.6108, 0.7500], [0.5000, 0.5000, 0.0000], [0.2500, 0.7500, 0.5000]]
}

Record 4
{
  "formula": "SrZrSi3",
  "functional": "PBE",
  "state": "relaxed",
  "space_group": "Pm-3m, No. 221",
  "e_above_lowest_polymorph_ev_per_atom": 0.000,
  "lattice": [[-0.9545, 2.6719, 4.2452], [1.8116, -3.8460, 2.8280], [4.6775, 2.0348, -0.2290]],
  "species": ["Zr", "Si", "Si", "Si", "Sr"],
  "frac_coords": [[0.0000, 0.0000, 0.0000], [0.5000, 0.0000, 0.0000], [0.0000, 0.0000, 0.5000], [0.0000, 0.5000, 0.0000], [0.5000, 0.5000, 0.5000]]
}

Record 5
{
  "formula": "Sr2ZrSi",
  "functional": "PBE",
  "state": "relaxed",
  "space_group": "R-3m, No. 166",
  "lattice": [[11.0191, -0.0689, -0.0405], [10.4353, 3.5398, -0.0405], [10.4353, 1.6882, 3.1116]],
  "species": ["Si", "Zr", "Sr", "Sr"],
  "frac_coords": [[0.7500, 0.7500, 0.7500], [0.2500, 0.2500, 0.2500], [0.4885, 0.4885, 0.4885], [0.0115, 0.0115, 0.0115]]
}

Record 6
{
  "formula": "SrZr2Si",
  "functional": "PBE",
  "state": "relaxed",
  "space_group": "I-4m2, No. 119",
  "lattice": [[-0.8063, 4.4265, -3.3878], [-4.8335, 2.6783, 1.0887], [4.3045, -1.7088, 3.2051]],
  "species": ["Zr", "Zr", "Sr", "Si"],
  "frac_coords": [[0.0000, 0.0000, 0.0000], [0.2500, 0.7500, 0.5000], [0.7500, 0.2500, 0.5000], [0.5000, 0.5000, 0.0000]]
}

Energy relative to the elements, uncorrected per entry: 0.3, 1.2, 1.8, 0.4, 1.7, 0.9 eV per formula unit
N(E_F) per entry: 3.12, 3.86, 3.84, 2.88, 5.21, 4.20 states/eV/f.u.